No. 1
First-principles (SCAN) data for Li4Al3 at its PBEsol-relaxed geometry, as listed in Alexandria.

Properties
- total DFT energy (no corrections) (eV per cell) = -33.49
- energy relative to the elements (eV/atom) = -0.10
- N(E_F) (states/eV/cell) = 2.05
- crystal system = tetragonal
- symmetry = I4/mmm (139)
- V (Å³/cell) = 110.3

a = 11.3235 Å, b = 11.3235 Å, c = 11.3235 Å
α = 164.00°, β = 164.00°, γ = 22.70°
Closest atoms and distances in Å follow each position.
Sites, in units of the cell vectors:
Li1 0.0719 0.0719 0.0000  4 Li 2.72, 4 Al 2.74
Li2 0.3582 0.3582 0.0000  4 Li 2.72, 4 Al 2.73
Li3 0.6418 0.6418 0.0000  4 Li 2.72, 4 Al 2.73
Li4 0.9281 0.9281 0.0000  4 Li 2.72, 4 Al 2.74
Al1 0.2125 0.2125 0.0000  4 Li 2.73, 4 Al 2.78
Al2 0.5000 0.5000 0.0000  8 Li 2.74
Al3 0.7875 0.7875 0.0000  4 Li 2.73, 4 Al 2.78

No. 2
First-principles (SCAN) data for Li2Al3 at its PBEsol-relaxed geometry, as listed in Alexandria.

Properties
- total DFT energy (no corrections) (eV per cell) = -28.25
- energy relative to the elements (eV/atom) = -0.04
- N(E_F) (states/eV/cell) = 1.25
- crystal system = trigonal
- symmetry = R-3m (166)
- V (Å³/cell) = 81.3

a = 11.5227 Å, b = 11.5227 Å, c = 11.5227 Å
α = 14.31°, β = 14.31°, γ = 14.31°
Closest atoms and distances in Å follow each position.
Sites, in units of the cell vectors:
Li1 0.0995 0.0995 0.0995  6 Al 2.81-2.83, 6 Li 2.87
Li2 0.9005 0.9005 0.9005  6 Al 2.81-2.83, 6 Li 2.87
Al1 0.3001 0.3001 0.3001  3 Li 2.81, 9 Al 2.81-2.87
Al2 0.5000 0.5000 0.5000  6 Li 2.83, 6 Al 2.87
Al3 0.6999 0.6999 0.6999  3 Li 2.81, 9 Al 2.81-2.87

No. 3
First-principles (SCAN) data for LiAl8 at its PBEsol-relaxed geometry, as listed in Alexandria.

Properties
- total DFT energy (no corrections) (eV per cell) = -64.58
- energy relative to the elements (eV/atom) = -0.02
- N(E_F) (states/eV/cell) = 3.16
- crystal system = tetragonal
- symmetry = I4/mmm (139)
- V (Å³/cell) = 145.4

a = 6.3664 Å, b = 6.3664 Å, c = 6.3664 Å
α = 95.59°, β = 95.59°, γ = 143.63°
Closest atoms and distances in Å follow each position.
Sites, in units of the cell vectors:
Li1 0.0000 0.0000 0.0000  12 Al 2.82-2.84
Al1 0.0000 0.3318 0.3318  11 Al 2.82-2.88, 1 Li 2.84
Al2 0.0000 0.6682 0.6682  11 Al 2.82-2.88, 1 Li 2.84
Al3 0.3318 0.0000 0.3318  11 Al 2.82-2.88, 1 Li 2.84
Al4 0.3350 0.3350 0.6700  2 Li 2.82, 10 Al 2.82-2.87
Al5 0.3350 0.6650 0.0000  2 Li 2.82, 10 Al 2.82-2.87
Al6 0.6650 0.3350 0.0000  2 Li 2.82, 10 Al 2.82-2.87
Al7 0.6650 0.6650 0.3300  2 Li 2.82, 10 Al 2.82-2.87
Al8 0.6682 0.0000 0.6682  11 Al 2.82-2.88, 1 Li 2.84

No. 4
First-principles (SCAN) data for Li9Al4 at its PBEsol-relaxed geometry, as listed in Alexandria.

Properties
- total DFT energy (no corrections) (eV per cell) = -54.52
- energy relative to the elements (eV/atom) = -0.15
- N(E_F) (states/eV/cell) = 3.20
- crystal system = monoclinic
- symmetry = C2/m (12)
- V (Å³/cell) = 211.6

a = 9.5313 Å, b = 9.5313 Å, c = 5.3414 Å
α = 104.94°, β = 104.94°, γ = 26.89°
Closest atoms and distances in Å follow each position.
Sites, in units of the cell vectors:
Li1 0.0000 0.0000 0.0000  2 Al 2.74, 6 Li 2.79-2.80
Li2 0.0844 0.0844 0.6376  4 Li 2.68-2.79, 3 Al 2.69-2.83
Li3 0.2328 0.2328 0.8416  6 Li 2.68-2.76, 2 Al 2.78-2.82
Li4 0.3078 0.3078 0.4722  4 Li 2.68-2.76, 4 Al 2.75-2.91
Li5 0.4563 0.4563 0.6751  6 Li 2.68-2.80, 2 Al 2.74-2.88
Li6 0.5437 0.5437 0.3249  6 Li 2.68-2.80, 2 Al 2.74-2.88
Li7 0.6922 0.6922 0.5278  4 Li 2.68-2.76, 4 Al 2.75-2.91
Li8 0.7672 0.7672 0.1584  6 Li 2.68-2.76, 2 Al 2.78-2.82
Li9 0.9156 0.9156 0.3624  4 Li 2.68-2.79, 3 Al 2.69-2.83
Al1 0.1513 0.1513 0.2186  2 Al 2.68, 6 Li 2.74-2.86
Al2 0.3862 0.3862 0.0671  2 Al 2.68, 6 Li 2.69-2.91
Al3 0.6138 0.6138 0.9329  2 Al 2.68, 6 Li 2.69-2.91
Al4 0.8487 0.8487 0.7814  2 Al 2.68, 6 Li 2.74-2.86

No. 5
First-principles (SCAN) data for Li3Al5 at its PBEsol-relaxed geometry, as listed in Alexandria.

Properties
- total DFT energy (no corrections) (eV per cell) = -46.67
- energy relative to the elements (eV/atom) = -0.09
- N(E_F) (states/eV/cell) = 2.33
- crystal system = orthorhombic
- symmetry = Cmmm (65)
- V (Å³/cell) = 128.2

a = 5.7047 Å, b = 5.7047 Å, c = 3.9438 Å
α = 90.00°, β = 90.00°, γ = 92.28°
Closest atoms and distances in Å follow each position.
Sites, in units of the cell vectors:
Li1 0.0000 0.0000 0.0000  4 Li 2.79, 8 Al 2.85
Li2 0.2502 0.2502 0.5000  10 Al 2.79-2.86, 2 Li 2.79
Li3 0.7498 0.7498 0.5000  10 Al 2.79-2.86, 2 Li 2.79
Al1 0.0000 0.5000 0.0000  6 Al 2.79-2.85, 6 Li 2.85
Al2 0.2506 0.7494 0.5000  6 Al 2.79-2.85, 6 Li 2.85-2.86
Al3 0.5000 0.0000 0.0000  6 Al 2.79-2.85, 6 Li 2.85
Al4 0.5000 0.5000 0.0000  4 Li 2.79, 8 Al 2.85
Al5 0.7494 0.2506 0.5000  6 Al 2.79-2.85, 6 Li 2.85-2.86

No. 6
First-principles (SCAN) data for LiMgAl2 at its PBEsol-relaxed geometry, as listed in Alexandria.

Properties
- total DFT energy (no corrections) (eV per cell) = -22.87
- energy relative to the elements (eV/atom) = 0.00
- N(E_F) (states/eV/cell) = 1.52
- crystal system = monoclinic
- symmetry = P2/m (10)
- V (Å³/cell) = 71.0

a = 4.9355 Å, b = 3.0508 Å, c = 4.9644 Å
α = 90.00°, β = 108.25°, γ = 90.00°
Closest atoms and distances in Å follow each position.
Sites, in units of the cell vectors:
Li1 0.0000 0.0000 0.0000  6 Al 2.90, 4 Mg 2.91, 2 Li 3.05
Mg1 0.0000 0.5000 0.5000  6 Al 2.90, 4 Li 2.91, 2 Mg 3.05
Al1 0.5000 0.0000 0.5000  2 Li 2.90, 4 Mg 2.90, 6 Al 2.91-3.05
Al2 0.5000 0.5000 0.0000  2 Mg 2.90, 4 Li 2.90, 6 Al 2.91-3.05

No. 7
First-principles (SCAN) data for LiMgAl2 at its PBEsol-relaxed geometry, as listed in Alexandria.

Properties
- total DFT energy (no corrections) (eV per cell) = -22.86
- energy relative to the elements (eV/atom) = 0.00
- N(E_F) (states/eV/cell) = 1.00
- crystal system = trigonal
- symmetry = R3m (160)
- V (Å³/cell) = 71.7

a = 9.5533 Å, b = 9.5533 Å, c = 9.5533 Å
α = 17.87°, β = 17.87°, γ = 17.87°
Closest atoms and distances in Å follow each position.
Sites, in units of the cell vectors:
Li1 0.0000 0.0000 0.0000  3 Al 2.80, 6 Li 2.97, 3 Mg 3.04
Mg1 0.2443 0.2443 0.2443  6 Mg 2.97, 3 Al 2.97, 3 Li 3.04
Al1 0.4914 0.4914 0.4914  9 Al 2.83-2.97, 3 Mg 2.97
Al2 0.7450 0.7450 0.7450  3 Li 2.80, 9 Al 2.83-2.97

No. 8
First-principles (SCAN) data for Li2MgAl at its PBEsol-relaxed geometry, as listed in Alexandria.

Properties
- total DFT energy (no corrections) (eV per cell) = -17.80
- energy relative to the elements (eV/atom) = -0.07
- N(E_F) (states/eV/cell) = 1.09
- crystal system = orthorhombic
- symmetry = Immm (71)
- V (Å³/cell) = 71.5

a = 5.4129 Å, b = 5.4129 Å, c = 5.4129 Å
α = 143.56°, β = 129.79°, γ = 63.61°
Closest atoms and distances in Å follow each position.
Sites, in units of the cell vectors:
Li1 0.2403 0.2403 0.0000  2 Al 2.78, 4 Li 2.86, 2 Mg 2.93
Li2 0.7597 0.7597 0.0000  2 Al 2.78, 4 Li 2.86, 2 Mg 2.93
Mg1 0.5000 0.0000 0.5000  4 Al 2.85, 8 Li 2.93-3.19
Al1 0.0000 0.5000 0.5000  4 Li 2.78, 4 Mg 2.85

Copy entry 1 word for word.
First-principles (SCAN) data for Li4Al3 at its PBEsol-relaxed geometry, as listed in Alexandria.

Properties
- total DFT energy (no corrections) (eV per cell) = -33.49
- energy relative to the elements (eV/atom) = -0.10
- N(E_F) (states/eV/cell) = 2.05
- crystal system = tetragonal
- symmetry = I4/mmm (139)
- V (Å³/cell) = 110.3

a = 11.3235 Å, b = 11.3235 Å, c = 11.3235 Å
α = 164.00°, β = 164.00°, γ = 22.70°
Closest atoms and distances in Å follow each position.
Sites, in units of the cell vectors:
Li1 0.0719 0.0719 0.0000  4 Li 2.72, 4 Al 2.74
Li2 0.3582 0.3582 0.0000  4 Li 2.72, 4 Al 2.73
Li3 0.6418 0.6418 0.0000  4 Li 2.72, 4 Al 2.73
Li4 0.9281 0.9281 0.0000  4 Li 2.72, 4 Al 2.74
Al1 0.2125 0.2125 0.0000  4 Li 2.73, 4 Al 2.78
Al2 0.5000 0.5000 0.0000  8 Li 2.74
Al3 0.7875 0.7875 0.0000  4 Li 2.73, 4 Al 2.78